5
Lattice="5.5576 0.0000 0.0000 0.0000 5.5576 0.0000 0.0000 0.0000 5.5576" Properties=species:S:1:pos:R:3 comment="HfTe3P (GGA-PBE, optimized geometry)" formation_energy_uncorrected_ev_per_atom=0.436 relative_energy_ev_per_atom=0.000 sg="Pm-3m (221)" pbc="T T T"
Hf 0.0000 0.0000 0.0000
Te 0.0000 2.7788 0.0000
P 2.7788 2.7788 2.7788
Te 0.0000 0.0000 2.7788
Te 2.7788 0.0000 0.0000

---

8
Lattice="-1.5239 2.3079 4.7139 -4.1932 2.9696 0.2687 -3.3835 -2.7867 3.2512" Properties=species:S:1:pos:R:3 comment="Mg2HIr5 (GGA-PBE, optimized geometry)" sg="P1 (1)" pbc="T T T"
Mg -5.9055 4.9994 5.1452
Mg -6.9351 2.3823 4.6379
Ir -5.2817 3.6590 2.9253
H -4.6518 1.0770 6.2454
Ir -3.6938 1.5672 2.9971
Ir -4.3755 2.7437 5.3796
Ir -5.2646 0.1806 4.7015
Ir -6.1834 1.4805 7.0556

---

no.,total energy (eV per atom)
1,-4.5215
2,-6.4345